Compound: BaTc2B
Source: Alexandria via LeMat-Bulk
Functional: PBE
Structure: optimized geometry

The structure in POSCAR format:
```
BaTc2B
1.0
0.000 4.520 4.520
4.520 0.000 4.520
4.520 4.520 0.000
Ba Tc B
2 4 2
Cartesian
1.130 1.130 1.130 Ba
7.909 7.909 7.909 Ba
4.520 2.260 2.260 Tc
2.260 4.520 2.260 Tc
2.260 2.260 4.520 Tc
4.520 4.520 4.520 Tc
3.390 3.390 3.390 B
5.650 5.650 5.650 B
```

Properties
The value obtained for the density is 6.190 Mg/m³. The calculation puts the density of states at the Fermi level at 6.8 states/eV/cell. The total DFT energy (no corrections) comes out at -52.12 eV per cell. The calculated volume comes out at 184.7 Å³/cell.